Here is a relaxed structure of SnBiI3 from Alexandria via LeMat-Bulk. Energies are from PBE.

```
5
Lattice="6.112 0.000 0.000 0.000 6.112 0.000 0.000 0.000 6.112" Properties=species:S:1:pos:R:3 pbc="T T T"
Bi 3.056 3.056 3.056
I 3.056 0.000 0.000
I 0.000 3.056 0.000
I 0.000 0.000 3.056
Sn 0.000 0.000 0.000
```

Calculated values
Energy above the lowest structure with this stoichiometry ... 0.0 meV per atom
SG ... Pm-3m (221)
DOS at the Fermi energy ... 10.50 states/eV/cell

=====

Here is a relaxed structure of Sn2BiI6 from Alexandria via LeMat-Bulk. Energies are from PBE.

```
9
Lattice="-0.725 -1.588 4.577 8.101 -1.895 -1.995 0.516 10.280 3.650" Properties=species:S:1:pos:R:3 pbc="T T T"
I 6.974 -1.203 3.309
I 5.173 7.277 3.345
Sn 5.169 -0.043 0.804
Bi -0.467 3.552 6.401
I 2.718 -0.481 2.885
I 0.918 7.999 2.922
I 5.934 2.869 1.936
Sn 2.723 6.839 5.426
I 1.958 3.928 4.295
```

Calculated values
SG ... C2/m (12)
DOS at the Fermi energy ... 2.48 states/eV/cell

=====

Here is a relaxed structure of Sn2BiI from Alexandria via LeMat-Bulk. Energies are from PBE.

```
4
Lattice="3.920 0.000 0.000 0.000 3.920 0.000 0.000 0.000 8.350" Properties=species:S:1:pos:R:3 pbc="T T T"
Bi 1.960 1.960 0.000
Sn 0.000 0.000 1.883
Sn 0.000 0.000 6.467
I 1.960 1.960 4.175
```

Calculated values
Energy above the lowest structure with this stoichiometry ... 91.8 meV per atom
SG ... P4/mmm (123)
DOS at the Fermi energy ... 2.44 states/eV/cell

=====

Here is a relaxed structure of Sn2BiI from Alexandria via LeMat-Bulk. Energies are from PBE.

```
4
Lattice="0.000 3.963 3.963 3.963 0.000 3.963 3.963 3.963 0.000" Properties=species:S:1:pos:R:3 pbc="T T T"
Sn 1.982 1.982 1.982
Bi 3.963 3.963 3.963
Sn 5.945 5.945 5.945
I 0.000 0.000 0.000
```

Calculated values
Energy above the lowest structure with this stoichiometry ... 142.7 meV per atom
SG ... Fm-3m (225)
DOS at the Fermi energy ... 2.04 states/eV/cell

=====

Here is a relaxed structure of Sn2BiI from Alexandria via LeMat-Bulk. Energies are from PBE.

```
4
Lattice="4.580 0.000 0.000 2.290 3.966 0.000 2.290 1.322 8.271" Properties=species:S:1:pos:R:3 pbc="T T T"
Bi 6.869 3.966 8.235
Sn 2.290 1.322 6.388
I 4.580 2.644 4.473
Sn 2.290 1.322 1.583
```

Calculated values
Energy above the lowest structure with this stoichiometry ... 27.5 meV per atom
SG ... R3m (160)
DOS at the Fermi energy ... 0.21 states/eV/cell

=====

Here is a relaxed structure of Sn2BiI from Alexandria via LeMat-Bulk. Energies are from PBE.

```
8
Lattice="8.492 0.000 0.000 0.000 8.492 0.000 4.246 4.246 4.118" Properties=species:S:1:pos:R:3 pbc="T T T"
Bi 8.492 4.246 2.059
Sn 1.933 6.369 1.029
Sn 6.559 2.123 1.029
I 4.246 8.492 2.059
Bi 0.000 0.000 0.000
Sn 10.615 10.805 3.088
Sn 6.369 6.179 3.088
I 4.246 4.246 0.000
```

Calculated values
Energy above the lowest structure with this stoichiometry ... 228.8 meV per atom
SG ... I-42d (122)
DOS at the Fermi energy ... 2.63 states/eV/cell

=====

Here is a relaxed structure of TlSn2BiI8 from Alexandria via LeMat-Bulk. Energies are from PBE.

```
12
Lattice="-4.805 5.087 3.484 -3.790 0.921 -6.334 -5.792 -7.126 2.424" Properties=species:S:1:pos:R:3 pbc="T T T"
I -11.898 -3.014 -0.062
I -5.662 -1.486 0.722
I -6.301 2.879 1.872
I -8.724 0.368 -1.148
Tl -2.896 -3.563 1.212
Bi 0.000 0.000 0.000
I -9.464 -1.008 3.194
Sn -8.642 -2.341 0.393
I -2.488 1.896 -0.364
I -4.923 -0.111 -3.620
Sn -5.745 1.222 -0.819
I -8.086 -3.997 -2.298
```

Calculated values
SG ... P2/m (10)

=====

Here is a relaxed structure of Sr8Bi5I from Alexandria via LeMat-Bulk. Energies are from PBE.

```
14
Lattice="8.388 0.000 -2.908 -4.174 7.245 -2.985 -0.040 0.000 8.878" Properties=species:S:1:pos:R:3 pbc="T T T"
Bi 3.693 4.484 1.598
Bi -1.467 2.761 -0.007
Sr 7.712 0.700 3.362
Bi 4.174 0.000 2.985
I -0.020 3.623 4.439
Sr 1.501 6.545 3.226
Bi 3.582 6.397 -2.951
Sr 5.230 1.738 0.281
Sr 1.248 1.751 1.752
Sr 1.591 4.431 -0.998
Sr 3.744 2.814 4.813
Sr -2.112 5.494 -2.371
Bi 2.540 0.848 7.329
Sr -2.218 5.508 1.874
```

Calculated values
SG ... I-4 (82)

=====

Here is a relaxed structure of SrBiI from Alexandria via LeMat-Bulk. Energies are from PBE.

```
6
Lattice="0.113 -4.627 0.148 4.033 0.171 2.269 -7.094 2.394 7.707" Properties=species:S:1:pos:R:3 pbc="T T T"
I -1.104 0.192 6.673
Bi 0.000 0.000 0.000
Sr 0.683 0.125 3.502
Bi 2.073 -2.228 1.208
I -1.845 -2.254 3.450
Sr -3.631 -2.187 6.621
```

Calculated values
Energy above the lowest structure with this stoichiometry ... 0.0 meV per atom
SG ... C2/m (12)
DOS at the Fermi energy ... 3.44 states/eV/cell

=====

Here is a relaxed structure of SrBi3I from Alexandria via LeMat-Bulk. Energies are from PBE.

```
5
Lattice="6.222 0.000 0.000 0.000 6.222 0.000 0.000 0.000 6.222" Properties=species:S:1:pos:R:3 pbc="T T T"
I 3.111 3.111 3.111
Bi 0.000 3.111 0.000
Bi 3.111 0.000 0.000
Bi 0.000 0.000 3.111
Sr 0.000 0.000 0.000
```

Calculated values
Energy above the lowest structure with this stoichiometry ... 276.8 meV per atom
SG ... Pm-3m (221)
DOS at the Fermi energy ... 7.69 states/eV/cell

=====

Here is a relaxed structure of Sr5Bi2I from Alexandria via LeMat-Bulk. Energies are from PBE.

```
8
Lattice="-0.610 -4.548 6.774 -6.367 -3.983 -3.246 6.486 1.026 -3.669" Properties=species:S:1:pos:R:3 pbc="T T T"
Sr 1.236 -5.109 -0.998
Sr -1.961 -5.917 0.793
Sr 1.522 -2.973 -4.179
Bi -1.706 -3.588 -2.562
Bi 1.173 -3.871 2.448
Sr 4.226 -3.238 0.526
I 0.671 -0.725 -0.426
Sr 4.512 -1.102 -2.655
```

Calculated values
SG ... I4mm (107)
DOS at the Fermi energy ... 5.06 states/eV/cell

=====

Here is a relaxed structure of Sr6BiI8 from Alexandria via LeMat-Bulk. Energies are from PBE.

```
15
Lattice="7.962 0.000 2.615 3.551 7.126 2.615 0.323 0.200 12.442" Properties=species:S:1:pos:R:3 pbc="T T T"
I 7.675 4.751 3.487
Sr 6.406 0.581 12.363
Sr 5.430 6.745 5.309
I 3.785 5.549 10.638
I 3.940 3.923 6.121
I 8.052 1.777 7.035
Bi 0.000 0.000 0.000
Sr 5.872 5.474 13.183
Sr 2.052 2.814 11.387
Sr 9.784 4.512 6.286
I 4.161 2.575 14.186
I 7.896 3.403 11.552
I 7.579 6.414 7.823
I 4.257 0.912 9.850
Sr 5.964 1.852 4.490
```

Calculated values
SG ... R-3 (148)
DOS at the Fermi energy ... 4.34 states/eV/cell

=====

Here is a relaxed structure of SrBi3I from Alexandria via LeMat-Bulk. Energies are from PBE.

```
5
Lattice="-1.877 -4.428 -3.551 5.665 -1.693 -0.882 -0.352 -3.642 4.728" Properties=species:S:1:pos:R:3 pbc="T T T"
Sr 1.718 -4.882 0.147
Bi -0.176 -1.821 2.364
Bi -0.938 -2.214 -1.776
Bi 2.833 -0.847 -0.441
I 0.000 0.000 0.000
```

Calculated values
Energy above the lowest structure with this stoichiometry ... 0.0 meV per atom
SG ... Pm-3m (221)
DOS at the Fermi energy ... 4.89 states/eV/cell

=====

Values for ΔE_f (raw), eV per atom, ordered as above
0.12, -0.38, 0.02, 0.07, -0.05, 0.15, -0.47, -1.02, -1.14, 0.62, -0.64, -1.48, 0.34
Values for uncorrected energy, eV/atom, ordered as above
-2.385, -2.729, -3.344, -3.293, -3.408, -3.207, -2.693, -3.475, -3.514, -2.355, -2.857, -3.243, -2.631
Values for theoretical density, g/cm3, ordered as above
5.15, 4.73, 7.42, 7.65, 6.34, 6.41, 5.01, 5.77, 6.41, 5.80, 5.07, 4.17, 6.54